(1)
Pm3DyCd4, optimized geometry, DFT PBE-GGA; DFT formation energy = -0.317 eV/atom; SG = P4/mmm (123)
1.0
3.799 0.000 0.000
0.000 3.799 0.000
0.000 0.000 15.323
Cd Dy Pm
4 1 3
direct
0.000 0.000 0.882
0.000 0.000 0.374
0.000 0.000 0.118
0.000 0.000 0.626
0.500 0.500 0.000
0.500 0.500 0.753
0.500 0.500 0.247
0.500 0.500 0.500



(2)
Pm2DyCd, optimized geometry, DFT PBE-GGA; DFT formation energy = 0.147 eV/atom; SG = R-3m (166)
1.0
-0.668 -2.882 1.891
-1.393 -2.829 -1.544
10.643 -6.143 -2.341
Dy Pm Cd
1 2 1
direct
0.500 0.500 0.500
0.089 0.089 0.733
0.911 0.911 0.267
0.000 0.000 0.000



(3)
Pm12Dy6Cd, optimized geometry, DFT PBE-GGA; DFT formation energy = 0.113 eV/atom; SG = R-3 (148)
1.0
8.660 -0.320 -0.838
-0.891 8.620 -0.838
-0.300 -0.320 8.695
Pm Dy Cd
12 6 1
direct
0.171 0.580 0.580
0.999 0.260 0.740
0.580 0.580 0.171
0.420 0.829 0.420
0.580 0.171 0.580
0.001 0.740 0.260
0.740 0.999 0.260
0.740 0.260 0.001
0.829 0.420 0.420
0.260 0.001 0.740
0.420 0.420 0.829
0.260 0.740 0.999
0.594 0.865 0.863
0.137 0.406 0.135
0.135 0.137 0.406
0.865 0.863 0.594
0.406 0.135 0.137
0.863 0.594 0.865
0.000 0.000 0.000



(4)
PmDy4Cd4, optimized geometry, DFT PBE-GGA; DFT formation energy = -0.118 eV/atom; SG = P4_2/n (86)
1.0
-3.639 3.068 2.925
-6.860 -6.291 -1.937
2.230 -4.853 7.865
Dy Cd Pm
8 8 2
direct
0.926 0.652 0.924
0.926 0.348 0.076
0.074 0.924 0.348
0.426 0.424 0.848
0.574 0.848 0.576
0.574 0.152 0.424
0.426 0.576 0.152
0.074 0.076 0.652
0.428 0.201 0.105
0.428 0.799 0.895
0.572 0.105 0.799
0.928 0.605 0.299
0.072 0.299 0.395
0.928 0.395 0.701
0.572 0.895 0.201
0.072 0.701 0.605
0.000 0.000 0.000
0.500 0.500 0.500



(5)
Pm6DyCd2, optimized geometry, DFT PBE-GGA; DFT formation energy = -0.132 eV/atom; SG = C2/m (12)
1.0
-3.514 -1.475 0.101
0.612 -6.494 -1.619
0.595 -5.623 10.498
Dy Pm Cd
1 6 2
direct
0.000 0.000 0.000
0.311 0.790 0.588
0.685 0.507 0.123
0.689 0.210 0.412
0.981 0.701 0.337
0.315 0.493 0.877
0.019 0.299 0.663
0.643 0.915 0.800
0.357 0.085 0.200



(6)
PmDyCd, optimized geometry, DFT PBE-GGA; DFT formation energy = -0.077 eV/atom; SG = P3m1 (156)
1.0
-0.799 -3.522 0.267
5.002 -1.030 1.385
-3.602 1.098 3.717
Pm Dy Cd
1 1 1
direct
0.705 0.333 0.667
0.267 0.667 0.333
0.029 0.000 0.000



(7)
PmDy8Cd2, optimized geometry, DFT PBE-GGA; DFT formation energy = 0.034 eV/atom; SG = C2/m (12)
1.0
5.575 -0.261 -0.392
-1.316 8.591 -0.711
-1.316 -3.965 7.655
Dy Cd Pm
8 2 1
direct
0.115 0.320 0.094
0.500 0.221 0.779
0.703 0.402 0.402
0.297 0.598 0.598
0.885 0.680 0.906
0.500 0.779 0.221
0.885 0.906 0.680
0.115 0.094 0.320
0.000 0.306 0.694
0.000 0.694 0.306
0.500 0.000 0.000



(8)
PmDy2Cd3, optimized geometry, DFT PBE-GGA; DFT formation energy = -0.316 eV/atom; SG = Cmmm (65)
1.0
5.306 0.000 0.021
2.653 7.969 0.010
-0.030 0.000 7.626
Cd Dy Pm
6 4 2
direct
0.836 0.329 0.742
0.500 0.000 0.259
0.164 0.671 0.742
0.836 0.329 0.258
0.164 0.671 0.258
0.500 0.000 0.741
0.332 0.337 0.500
0.000 0.000 0.500
0.000 0.000 0.000
0.668 0.663 0.500
0.334 0.332 0.000
0.666 0.668 0.000



(9)
PmDy2Cd2, optimized geometry, DFT PBE-GGA; DFT formation energy = -0.183 eV/atom; SG = C2/m (12)
1.0
-6.460 2.089 1.044
-1.547 -3.732 4.631
-3.838 3.590 8.455
Cd Dy Pm
4 4 2
direct
0.655 0.222 0.939
0.155 0.722 0.438
0.845 0.278 0.562
0.345 0.778 0.061
0.435 0.233 0.333
0.065 0.267 0.167
0.935 0.733 0.833
0.565 0.767 0.667
0.750 0.750 0.250
0.250 0.250 0.750



(10)
Pm5Dy2Cd, optimized geometry, DFT PBE-GGA; DFT formation energy = -0.006 eV/atom; SG = P2_1/m (11)
1.0
5.907 -2.169 0.000
-6.257 7.297 0.000
0.000 0.000 17.648
Pm Dy Cd
10 4 2
direct
0.275 0.259 0.349
0.159 0.553 0.407
0.275 0.259 0.151
0.725 0.741 0.651
0.841 0.447 0.593
0.725 0.741 0.849
0.159 0.553 0.093
0.389 0.963 0.250
0.611 0.037 0.750
0.841 0.447 0.907
0.058 0.853 0.464
0.942 0.147 0.964
0.942 0.147 0.536
0.058 0.853 0.036
0.463 0.320 0.750
0.537 0.680 0.250



(11)
PmDy2Cd3, optimized geometry, DFT PBE-GGA; DFT formation energy = -0.317 eV/atom; SG = P4/mmm (123)
1.0
-3.444 -1.371 0.685
0.689 -2.890 -2.320
4.121 -6.001 8.698
Cd Pm Dy
3 1 2
direct
0.000 0.000 0.324
0.000 0.000 0.676
0.000 0.000 0.000
0.500 0.500 0.500
0.500 0.500 0.836
0.500 0.500 0.164



(12)
Pm5DyCd6, optimized geometry, DFT PBE-GGA; DFT formation energy = -0.318 eV/atom; SG = Cmmm (65)
1.0
0.498 -1.254 5.203
-6.851 -3.488 -0.184
3.839 -7.572 0.585
Pm Cd Dy
5 6 1
direct
0.334 0.000 0.332
0.668 0.500 0.664
0.666 0.000 0.668
0.332 0.500 0.336
0.000 0.500 0.000
0.164 0.754 0.672
0.836 0.246 0.328
0.836 0.754 0.328
0.500 0.245 0.000
0.164 0.246 0.672
0.500 0.755 0.000
0.000 0.000 0.000